1.
The following is a DFT calculation (GGA-PBE) of a relaxed GdDySn2Pt4 crystal.

The space group is P-6m2 (No. 187) and the conventional cell measures 4.5691, 4.5691 and 9.1151 Å, with angles of 90.00, 90.00 and 120.00 degrees. The inequivalent atoms are Gd at (0.0000, 0.0000, 0.0000), Dy at (0.3333, 0.6667, 0.5000), Sn at (0.6667, 0.3333, 0.2508), Pt at (0.0000, 0.0000, 0.3411) and Pt at (0.3333, 0.6667, 0.1616).

2.
The following is a DFT calculation (GGA-PBE) of a relaxed AcBeOs crystal.

The space group is F-43m (No. 216) and the conventional cell measures 6.328, 6.328 and 6.328 Å, with angles of 90.00, 90.00 and 90.00 degrees. The inequivalent atoms are Ac at (0.000, 0.000, 0.000), Be at (0.250, 0.250, 0.250) and Os at (0.000, 0.000, 0.500).

3.
The following is a DFT calculation (GGA-PBE) of a relaxed Rb2ZrAg2Te2S2 crystal.

The space group is P2 (No. 3) and the conventional cell measures 6.365, 6.375 and 7.913 Å, with angles of 90.00, 113.18 and 90.00 degrees. The inequivalent atoms are Rb at (0.000, 0.000, 0.000), Rb at (0.500, 0.488, 0.000), Zr at (0.500, 0.754, 0.500), Ag at (0.000, 0.773, 0.500), Ag at (0.500, 0.243, 0.500), Te at (0.138, 0.501, 0.276) and S at (0.379, 0.970, 0.697).

4.
The following is a DFT calculation (GGA-PBE) of a relaxed LiZr crystal.

The space group is Pmmn (No. 59, origin choice 2) and the conventional cell measures 4.954, 6.110 and 10.622 Å, with angles of 90.00, 90.00 and 90.00 degrees. The inequivalent atoms are Li at (0.250, 0.006, 0.074), Li at (0.250, 0.250, 0.326), Li at (0.250, 0.250, 0.853), Zr at (0.250, 0.506, 0.580), Zr at (0.250, 0.750, 0.314) and Zr at (0.250, 0.750, 0.819).

5.
The following is a DFT calculation (GGA-PBE) of a relaxed Sr2MgOsN6 crystal.

The space group is C2/m (No. 12) and the conventional cell measures 9.821, 5.702 and 5.663 Å, with angles of 90.00, 125.09 and 90.00 degrees. The inequivalent atoms are Sr at (0.250, 0.000, 0.250), Mg at (0.000, 0.000, 0.500), Os at (0.000, 0.500, 0.000), N at (0.000, 0.259, 0.242) and N at (0.241, 0.500, 0.241).

6.
The following is a DFT calculation (GGA-PBE) of a relaxed LiHfFeB crystal.

The space group is F-43m (No. 216) and the conventional cell measures 5.717, 5.717 and 5.717 Å, with angles of 90.00, 90.00 and 90.00 degrees. The inequivalent atoms are Li at (0.000, 0.000, 0.000), Hf at (0.250, 0.250, 0.250), Fe at (0.250, 0.250, 0.750) and B at (0.000, 0.000, 0.500).

7.
The following is a DFT calculation (GGA-PBE) of a relaxed BeCu5Ge2 crystal.

The space group is P4/mmm (No. 123) and the conventional cell measures 4.143, 4.143 and 5.812 Å, with angles of 90.00, 90.00 and 90.00 degrees. The inequivalent atoms are Be at (0.000, 0.000, 0.000), Cu at (0.000, 0.500, 0.239), Cu at (0.500, 0.500, 0.500), Ge at (0.000, 0.000, 0.500) and Ge at (0.500, 0.500, 0.000).

8.
The following is a DFT calculation (GGA-PBE) of a relaxed CuSiAgHg crystal.

The space group is F-43m (No. 216) and the conventional cell measures 6.523, 6.523 and 6.523 Å, with angles of 90.00, 90.00 and 90.00 degrees. The inequivalent atoms are Cu at (0.000, 0.000, 0.000), Si at (0.250, 0.250, 0.750), Ag at (0.000, 0.000, 0.500) and Hg at (0.250, 0.250, 0.250).

9.
The following is a DFT calculation (GGA-PBE) of a relaxed NpSnIr crystal.

The space group is P-62m (No. 189) and the conventional cell measures 8.4828, 8.4828 and 2.9663 Å, with angles of 90.00, 90.00 and 120.00 degrees. The inequivalent atoms are Np at (0.0000, 0.3110, 0.0000), Sn at (0.0000, 0.0000, 0.5000), Sn at (0.3333, 0.6667, 0.0000) and Ir at (0.0000, 0.6420, 0.5000).

10.
The following is a DFT calculation (GGA-PBE) of a relaxed Ba2CdBiSb crystal.

The space group is Cmc2_1 (No. 36) and the conventional cell measures 4.995, 18.576 and 8.617 Å, with angles of 90.00, 90.00 and 90.00 degrees. The inequivalent atoms are Ba at (0.000, 0.030, 0.000), Ba at (0.000, 0.209, 0.658), Cd at (0.000, 0.407, 0.844), Bi at (0.000, 0.432, 0.209) and Sb at (0.000, 0.169, 0.264).

11.
The following is a DFT calculation (GGA-PBE) of a relaxed Cs2NaDyI6 crystal.

The space group is Fm-3m (No. 225) and the conventional cell measures 12.333, 12.333 and 12.333 Å, with angles of 90.00, 90.00 and 90.00 degrees. The inequivalent atoms are Cs at (0.250, 0.250, 0.250), Na at (0.000, 0.000, 0.000), Dy at (0.000, 0.000, 0.500) and I at (0.000, 0.000, 0.255).

12.
The following is a DFT calculation (GGA-PBE) of a relaxed NaAgPbSe2S crystal.

The space group is Cmcm (No. 63) and the conventional cell measures 4.205, 12.312 and 11.305 Å, with angles of 90.00, 90.00 and 90.00 degrees. The inequivalent atoms are Na at (0.000, 0.195, 0.250), Ag at (0.000, 0.091, 0.750), Pb at (0.000, 0.500, 0.000), Se at (0.000, 0.166, 0.530) and S at (0.000, 0.464, 0.750).

13.
The following is a DFT calculation (GGA-PBE) of a relaxed YMgCoGe crystal.

The space group is F-43m (No. 216) and the conventional cell measures 6.555, 6.555 and 6.555 Å, with angles of 90.00, 90.00 and 90.00 degrees. The inequivalent atoms are Y at (0.000, 0.000, 0.000), Mg at (0.250, 0.250, 0.750), Co at (0.000, 0.000, 0.500) and Ge at (0.250, 0.250, 0.250).

14.
The following is a DFT calculation (GGA-PBE) of a relaxed SmTlTe3Pd crystal.

The space group is Cmcm (No. 63) and the conventional cell measures 4.252, 16.520 and 10.804 Å, with angles of 90.00, 90.00 and 90.00 degrees. The inequivalent atoms are Sm at (0.000, 0.000, 0.000), Tl at (0.000, 0.244, 0.250), Te at (0.000, 0.091, 0.750), Te at (0.000, 0.369, 0.578) and Pd at (0.000, 0.486, 0.750).

15.
The following is a DFT calculation (GGA-PBE) of a relaxed ZnGa2Os crystal.

The space group is F-43m (No. 216) and the conventional cell measures 6.219, 6.219 and 6.219 Å, with angles of 90.00, 90.00 and 90.00 degrees. The inequivalent atoms are Zn at (0.000, 0.000, 0.000), Ga at (0.000, 0.000, 0.500), Ga at (0.250, 0.250, 0.250) and Os at (0.250, 0.250, 0.750).

16.
The following is a DFT calculation (GGA-PBE) of a relaxed BaSrTmAs2 crystal.

The space group is Cmc2_1 (No. 36) and the conventional cell measures 4.615, 18.417 and 7.794 Å, with angles of 90.00, 90.00 and 90.00 degrees. The inequivalent atoms are Ba at (0.000, 0.202, 0.000), Sr at (0.000, 0.040, 0.697), Tm at (0.000, 0.406, 0.838), As at (0.000, 0.169, 0.437) and As at (0.000, 0.452, 0.492).

17.
The following is a DFT calculation (GGA-PBE) of a relaxed Pa2Ir2O5 crystal.

The space group is P4/mmm (No. 123) and the conventional cell measures 4.301, 4.301 and 8.073 Å, with angles of 90.00, 90.00 and 90.00 degrees. The inequivalent atoms are Pa at (0.000, 0.000, 0.238), Ir at (0.500, 0.500, 0.000), Ir at (0.500, 0.500, 0.500), O at (0.000, 0.000, 0.500) and O at (0.000, 0.500, 0.246).

18.
The following is a DFT calculation (GGA-PBE) of a relaxed LiIn2Cu5 crystal.

The space group is P4/mmm (No. 123) and the conventional cell measures 4.326, 4.326 and 6.115 Å, with angles of 90.00, 90.00 and 90.00 degrees. The inequivalent atoms are Li at (0.000, 0.000, 0.000), In at (0.000, 0.000, 0.500), In at (0.500, 0.500, 0.000), Cu at (0.000, 0.500, 0.253) and Cu at (0.500, 0.500, 0.500).

19.
The following is a DFT calculation (GGA-PBE) of a relaxed PrSm2Ta2N6 crystal.

The space group is I4/mmm (No. 139) and the conventional cell measures 4.044, 4.044 and 19.598 Å, with angles of 90.00, 90.00 and 90.00 degrees. The inequivalent atoms are Pr at (0.000, 0.000, 0.000), Sm at (0.000, 0.000, 0.179), Ta at (0.000, 0.000, 0.397), N at (0.000, 0.000, 0.298) and N at (0.000, 0.500, 0.087).

20.
The following is a DFT calculation (GGA-PBE) of a relaxed NbNiBPt crystal.

The space group is F-43m (No. 216) and the conventional cell measures 5.962, 5.962 and 5.962 Å, with angles of 90.00, 90.00 and 90.00 degrees. The inequivalent atoms are Nb at (0.000, 0.000, 0.000), Ni at (0.000, 0.000, 0.500), B at (0.250, 0.250, 0.250) and Pt at (0.250, 0.250, 0.750).

Sequential electronic total energy output: -49.52; -17.34; -38.72; -9.90; -63.68; -26.43; -30.80; -10.77; -25.35; -17.06; -31.42; -21.16; -20.16; -26.13; -17.18; -22.65; -67.98; -26.19; -102.72; -27.85 eV/f.u.